(1)
{
  "formula": "CaEuDy2",
  "functional": "PBE",
  "state": "optimized geometry",
  "vol_a3_per_atom": 35.25,
  "magnetic_moment_mub_per_fu": 7.3,
  "e_above_lowest_polymorph_mev_per_atom": 27.9,
  "ef_ev_per_atom": 0.148,
  "lattice_angstrom": [[-2.529, 1.277, -2.314], [-0.036, -3.219, -1.736], [-7.614, -3.393, 6.449]],
  "species": ["Dy", "Dy", "Eu", "Ca"],
  "frac_coords": [[0.000, 0.000, 0.244], [0.000, 0.000, 0.756], [0.500, 0.500, 0.000], [0.500, 0.500, 0.500]]
}


(2)
{
  "formula": "CaEuDy2",
  "functional": "PBE",
  "state": "optimized geometry",
  "vol_a3_per_atom": 35.34,
  "magnetic_moment_mub_per_fu": 7.6,
  "e_above_lowest_polymorph_mev_per_atom": 0.0,
  "ef_ev_per_atom": 0.120,
  "lattice_angstrom": [[-0.277, 2.831, -2.307], [-3.295, 1.105, -1.156], [-1.946, 8.940, 8.296]],
  "species": ["Dy", "Dy", "Eu", "Ca"],
  "frac_coords": [[0.251, 0.251, 0.248], [0.749, 0.749, 0.752], [0.000, 0.000, 0.000], [0.500, 0.500, 0.500]]
}


(3)
{
  "formula": "Ca2EuDy",
  "functional": "PBE",
  "state": "optimized geometry",
  "vol_a3_per_atom": 38.15,
  "magnetic_moment_mub_per_fu": 7.5,
  "e_above_lowest_polymorph_mev_per_atom": 25.9,
  "ef_ev_per_atom": 0.133,
  "lattice_angstrom": [[-3.026, -0.938, -5.093], [-5.554, -2.256, 0.184], [-4.694, 3.469, -1.382]],
  "species": ["Dy", "Ca", "Ca", "Eu"],
  "frac_coords": [[0.500, 0.500, 0.500], [0.750, 0.750, 0.750], [0.250, 0.250, 0.250], [0.000, 0.000, 0.000]]
}


(4)
{
  "formula": "Ca2EuDy",
  "functional": "PBE",
  "state": "optimized geometry",
  "vol_a3_per_atom": 38.47,
  "magnetic_moment_mub_per_fu": 7.3,
  "e_above_lowest_polymorph_mev_per_atom": 0.0,
  "ef_ev_per_atom": 0.107,
  "lattice_angstrom": [[-1.578, 3.569, -1.324], [0.714, -1.130, -3.898], [-8.220, -3.786, -0.408]],
  "species": ["Ca", "Ca", "Eu", "Dy"],
  "frac_coords": [[0.000, 0.000, 0.768], [0.000, 0.000, 0.232], [0.500, 0.500, 0.500], [0.500, 0.500, 0.000]]
}


(5)
{
  "formula": "CaEuDy2",
  "functional": "PBE",
  "state": "optimized geometry",
  "vol_a3_per_atom": 35.24,
  "magnetic_moment_mub_per_fu": 7.4,
  "e_above_lowest_polymorph_mev_per_atom": 54.5,
  "ef_ev_per_atom": 0.174,
  "lattice_angstrom": [[5.842, 0.000, 0.000], [2.921, 5.059, 0.000], [2.921, 1.686, 4.770]],
  "species": ["Eu", "Dy", "Dy", "Ca"],
  "frac_coords": [[0.500, 0.500, 0.500], [0.750, 0.750, 0.750], [0.250, 0.250, 0.250], [0.000, 0.000, 0.000]]
}


(6)
{
  "formula": "CaEuDyIn",
  "functional": "PBE",
  "state": "optimized geometry",
  "vol_a3_per_atom": 31.39,
  "magnetic_moment_mub_per_fu": 7.3,
  "ef_ev_per_atom": -0.152,
  "lattice_angstrom": [[-2.404, 5.062, -0.431], [-5.354, 0.437, -1.655], [-3.959, 1.553, 3.675]],
  "species": ["Ca", "In", "Eu", "Dy"],
  "frac_coords": [[0.750, 0.750, 0.750], [0.250, 0.250, 0.250], [0.000, 0.000, 0.000], [0.500, 0.500, 0.500]]
}